# 1
Entry from the Alexandria database: a relaxed structure of Fe5Co2 (PBEsol).

Excess energy over the best structure of this formula in the dataset in eV per atom: 0.034
Spin magnetization in μB/atom: 2.18
Calculated total energy in eV for the cell shown: -60.046
DFT formation energy in meV per atom: 35
Calculated volume in Å³ per cell: 76.1

Lattice parameters (Å, degrees): 2.7840 2.7840 10.0168 97.99 97.99 90.00
Each line ends with the local moment (μB).
Fractional positions:
1 Fe 0.9289 0.9289 0.8578  2.30
2 Fe 0.6437 0.6437 0.2875  2.55
3 Fe 0.5000 0.5000 0.0000  2.20
4 Fe 0.3563 0.3563 0.7125  2.55
5 Fe 0.0711 0.0711 0.1422  2.30
6 Co 0.2134 0.2134 0.4268  1.74
7 Co 0.7866 0.7866 0.5732  1.74

=====

# 2
Entry from the Alexandria database: a relaxed structure of FeCo7 (PBEsol).

Excess energy over the best structure of this formula in the dataset in eV per atom: 0.002
Spin magnetization in μB/atom: 1.71
Calculated total energy in eV for the cell shown: -62.901
DFT formation energy in meV per atom: 28
Calculated volume in Å³ per cell: 83.6

Lattice parameters (Å, degrees): 5.4890 4.2516 4.2516 109.62 104.92 104.92
Each line ends with the local moment (μB).
Fractional positions:
1 Co 0.2471 0.8734 0.3734  1.58
2 Co 0.5000 0.0000 0.0000  1.61
3 Co 0.9954 0.2477 0.2477  1.62
4 Co 0.7529 0.6266 0.1266  1.58
5 Co 0.2471 0.3734 0.8734  1.58
6 Co 0.0046 0.7523 0.7523  1.62
7 Co 0.7529 0.1266 0.6266  1.58
8 Fe 0.5000 0.5000 0.5000  2.51

=====

# 3
Entry from the Alexandria database: a relaxed structure of Fe5Co2 (PBEsol).

Excess energy over the best structure of this formula in the dataset in eV per atom: 0.000
Spin magnetization in μB/atom: 2.30
Calculated total energy in eV for the cell shown: -60.281
DFT formation energy in meV per atom: 1
Calculated volume in Å³ per cell: 76.9

Lattice parameters (Å, degrees): 3.9626 3.9626 6.0998 71.05 71.05 60.00
Each line ends with the local moment (μB).
Fractional positions:
1 Fe 0.9282 0.9282 0.2153  2.60
2 Fe 0.5000 0.5000 0.5000  2.68
3 Fe 0.6434 0.6434 0.0698  2.45
4 Fe 0.0718 0.0718 0.7847  2.60
5 Fe 0.3566 0.3566 0.9302  2.45
6 Co 0.2140 0.2140 0.3579  1.72
7 Co 0.7860 0.7860 0.6421  1.72

=====

# 4
Entry from the Alexandria database: a relaxed structure of Fe5Co3 (PBEsol).

Excess energy over the best structure of this formula in the dataset in eV per atom: 0.038
Spin magnetization in μB/atom: 2.23
Calculated total energy in eV for the cell shown: -67.830
DFT formation energy in meV per atom: 25
Calculated volume in Å³ per cell: 87.2

Lattice parameters (Å, degrees): 2.4248 4.6250 7.8948 90.00 90.00 99.82
Each line ends with the local moment (μB).
Fractional positions:
1 Co 0.5000 0.5000 0.0000  1.77
2 Co 0.0000 0.0000 0.0000  1.76
3 Co 0.5000 0.5000 0.5000  1.74
4 Fe 0.7495 0.2500 0.2492  2.53
5 Fe 0.7495 0.2500 0.7508  2.53
6 Fe 0.2505 0.7500 0.2492  2.53
7 Fe 0.2505 0.7500 0.7508  2.53
8 Fe 0.0000 0.0000 0.5000  2.49

=====

# 5
Entry from the Alexandria database: a relaxed structure of Fe15Co (PBEsol).

Spin magnetization in μB/atom: 2.17
Calculated total energy in eV for the cell shown: -141.758
DFT formation energy in meV per atom: 27
Calculated volume in Å³ per cell: 173.0

Lattice parameters (Å, degrees): 5.5723 5.5723 5.5723 90.00 90.00 90.00
Each line ends with the local moment (μB).
Fractional positions:
1 Fe 0.2499 0.2499 0.7501  2.26
2 Fe 0.7501 0.2499 0.7501  2.26
3 Fe 0.0000 0.5000 0.5000  2.17
4 Fe 0.5000 0.0000 0.5000  2.17
5 Fe 0.2499 0.7501 0.2499  2.26
6 Fe 0.7501 0.7501 0.2499  2.26
7 Fe 0.5000 0.0000 0.0000  2.17
8 Fe 0.0000 0.0000 0.5000  2.17
9 Fe 0.5000 0.5000 0.0000  2.17
10 Fe 0.2499 0.7501 0.7501  2.26
11 Fe 0.5000 0.5000 0.5000  2.18
12 Fe 0.7501 0.7501 0.7501  2.26
13 Fe 0.0000 0.5000 0.0000  2.17
14 Fe 0.2499 0.2499 0.2499  2.26
15 Fe 0.7501 0.2499 0.2499  2.26
16 Co 0.0000 0.0000 0.0000  1.67

=====

# 6
Entry from the Alexandria database: a relaxed structure of Fe5Co3 (PBEsol).

Excess energy over the best structure of this formula in the dataset in eV per atom: 0.051
Spin magnetization in μB/atom: 2.19
Calculated total energy in eV for the cell shown: -67.723
DFT formation energy in meV per atom: 38
Calculated volume in Å³ per cell: 87.1

Lattice parameters (Å, degrees): 2.4201 4.6210 7.9073 90.00 90.00 99.89
Each line ends with the local moment (μB).
Fractional positions:
1 Fe 0.0000 0.5000 0.7511  2.47
2 Fe 0.5000 0.0000 0.2474  2.58
3 Fe 0.2471 0.2496 0.4992  2.41
4 Fe 0.7529 0.7504 0.4992  2.41
5 Fe 0.5000 0.0000 0.7523  2.47
6 Co 0.2583 0.2508 0.0003  1.77
7 Co 0.7417 0.7492 0.0003  1.77
8 Co 0.0000 0.5000 0.2502  1.76

=====

# 7
Entry from the Alexandria database: a relaxed structure of Fe7Co (PBEsol).

Excess energy over the best structure of this formula in the dataset in eV per atom: 0.003
Spin magnetization in μB/atom: 2.22
Calculated total energy in eV for the cell shown: -70.304
DFT formation energy in meV per atom: 22
Calculated volume in Å³ per cell: 87.0

Lattice parameters (Å, degrees): 3.9464 3.9464 6.8433 73.24 73.24 60.00
Each line ends with the local moment (μB).
Fractional positions:
1 Fe 0.7501 0.7501 0.7498  2.22
2 Fe 0.2499 0.2499 0.2502  2.22
3 Fe 0.5000 0.5000 0.5000  2.22
4 Fe 0.1248 0.1248 0.6257  2.32
5 Fe 0.8752 0.8752 0.3743  2.32
6 Fe 0.3748 0.3748 0.8755  2.44
7 Fe 0.6252 0.6252 0.1245  2.44
8 Co 0.0000 0.0000 0.0000  1.69

=====

# 8
Entry from the Alexandria database: a relaxed structure of Fe4Co3 (PBEsol).

Excess energy over the best structure of this formula in the dataset in eV per atom: 0.026
Spin magnetization in μB/atom: 2.15
Calculated total energy in eV for the cell shown: -58.756
DFT formation energy in meV per atom: 44
Calculated volume in Å³ per cell: 75.9

Lattice parameters (Å, degrees): 2.4171 2.4171 13.8973 93.28 93.28 109.95
Each line ends with the local moment (μB).
Fractional positions:
1 Co 0.2855 0.2855 0.5710  1.76
2 Co 0.7145 0.7145 0.4290  1.76
3 Co 0.0000 0.0000 0.0000  1.78
4 Fe 0.8565 0.8565 0.7129  2.45
5 Fe 0.5713 0.5713 0.1426  2.47
6 Fe 0.4287 0.4287 0.8574  2.47
7 Fe 0.1435 0.1435 0.2871  2.45